Ga2PbSe: optimized geometry, PBE.

The structure in extended XYZ format:
```
4
Lattice="0.000 3.624 3.624 3.624 0.000 3.624 3.624 3.624 0.000" Properties=species:S:1:pos:R:3 pbc="T T T"
Se 0.000 0.000 0.000
Ga 5.435 5.435 5.435
Ga 1.812 1.812 1.812
Pb 3.624 3.624 3.624
```

## Properties
**Crystal system**: cubic
**Energy relative to the lowest polymorph listed for this composition**: 0.205 eV per atom
**N(E_F)**: 2.38 states/eV per cell
**Formation energy from raw total energies**: 0.086 eV/atom